# PBE PmAgSO, relaxed
data_PmAgSO
_symmetry_space_group_name_H-M 'P 1'
_symmetry_Int_Tables_number 1
_cell_length_a 5.6459
_cell_length_b 5.6459
_cell_length_c 9.0077
_cell_angle_alpha 90.00
_cell_angle_beta 90.00
_cell_angle_gamma 90.00
loop_
_symmetry_equiv_pos_as_xyz
'x,y,z'
loop_
_atom_site_label
_atom_site_fract_x
_atom_site_fract_y
_atom_site_fract_z
_atom_site_occupancy
Ag1 0.0000 0.0000 0.5000 1
Ag2 0.5000 0.0000 0.5000 1
Ag3 0.0000 0.5000 0.5000 1
Ag4 0.5000 0.5000 0.5000 1
O1 0.0000 0.0000 0.0000 1
O2 0.5000 0.0000 0.0000 1
O3 0.0000 0.5000 0.0000 1
O4 0.5000 0.5000 0.0000 1
Pm1 0.2500 0.2499 0.1313 1
Pm2 0.7500 0.7501 0.1313 1
Pm3 0.7500 0.2499 0.8687 1
Pm4 0.2500 0.7501 0.8687 1
S1 0.7500 0.2500 0.2997 1
S2 0.2500 0.7500 0.2997 1
S3 0.2500 0.2500 0.7003 1
S4 0.7500 0.7500 0.7003 1
# - Distance to the lowest polymorph of the same formula: 0.013 eV per atom
# - E_tot: -97.40 eV per cell
# - Calculated density: 6.96 g cm⁻³
# - Space group: P4/nmm